Here is an optimized crystal structure of CrSiSe2 from the Alexandria database. Energies are from PBE.

Results
total magnetic moment: 0.0 μB per cell
density of states at the Fermi level: 1.91 states/eV/f.u.
E: -5.537 eV per atom
raw formation energy: -0.03 eV/atom

Unit cell a=7.916 b=3.168 c=6.733 alpha=90.00 beta=99.34 gamma=90.00
Space group Cm (No. 8)
Unique sites:
Cr: 0.000 0.000 0.000
Si: 0.228 0.500 0.081
Se: 0.014 0.500 0.292
Se: 0.298 0.000 0.784